Record 1
This record from Alexandria describes crystalline Pu2PdO11 at its relaxed geometry. The functional is PBE.

Output
DOS(E_F) (states/eV/atom): 0.630
Theoretical density (g cm⁻³): 5.7
Uncorrected formation energy (eV/atom): -1.073
Size of the total moment (μB/atom): 0.144
Uncorrected energy (eV per atom): -7.3872

a = 8.4451 Å, b = 8.4451 Å, c = 8.4451 Å
α = 121.17°, β = 108.34°, γ = 99.66°
Closest atoms and distances in Å follow each position.
Sites, in units of the cell vectors:
O: 0.7554 0.1584 0.6723  1 Pu 1.92, 1 Pd 1.96
O: 0.5217 0.5809 0.3609  1 Pu 1.82
O: 0.2446 0.8416 0.3277  1 Pu 1.92, 1 Pd 1.96
O: 0.0217 0.6608 0.9408  1 Pu 1.82
O: 0.2554 0.5831 0.5970  1 Pu 1.92, 1 Pd 1.96
O: 0.7800 0.8392 0.3609  1 Pu 1.82
O: 0.7446 0.4169 0.4030  1 Pu 1.92, 1 Pd 1.96
O: 0.5000 0.5000 0.0000  2 O 1.69
O: 0.0139 0.3416 0.5970  1 Pu 1.92, 1 Pd 1.96
O: 0.5139 0.9169 0.6723  1 Pu 1.92, 1 Pd 1.96
O: 0.4861 0.0831 0.3277  1 Pu 1.92, 1 Pd 1.96
O: 0.9861 0.6584 0.4030  1 Pu 1.92, 1 Pd 1.96
O: 0.6420 0.3859 0.0279  1 O 1.69
O: 0.7200 0.0809 0.0592  1 Pu 1.82
O: 0.8580 0.8859 0.7439  1 O 1.69
O: 0.3580 0.6141 0.9721  1 O 1.69
O: 0.0000 0.0000 0.0000  2 O 1.69
O: 0.4783 0.4191 0.6391  1 Pu 1.82
O: 0.2200 0.1608 0.6391  1 Pu 1.82
O: 0.9783 0.3392 0.0592  1 Pu 1.82
O: 0.2800 0.9191 0.9408  1 Pu 1.82
O: 0.1420 0.1141 0.2561  1 O 1.69
Pu: 0.7518 0.1327 0.8846  4 O 1.82-1.92
Pu: 0.2482 0.8673 0.1154  4 O 1.82-1.92
Pu: 0.2518 0.3673 0.6191  4 O 1.82-1.92
Pu: 0.7482 0.6327 0.3809  4 O 1.82-1.92
Pd: 0.2500 0.7500 0.5000  4 O 1.96
Pd: 0.7500 0.2500 0.5000  4 O 1.96



Record 2
This record from Alexandria describes crystalline Pm2InI at its relaxed geometry. The functional is PBE.

Output
DOS(E_F) (states/eV/atom): 0.380
Theoretical density (g cm⁻³): 6.9
Uncorrected formation energy (eV/atom): -0.596
Size of the total moment (μB/atom): 0.000
Uncorrected energy (eV per atom): -4.0436
Excess energy over the best structure of this formula in the dataset (eV per formula unit): 0.17

a = 3.9718 Å, b = 3.9718 Å, c = 9.5991 Å
α = 78.06°, β = 78.06°, γ = 60.00°
Closest atoms and distances in Å follow each position.
Sites, in units of the cell vectors:
I: 0.0000 0.0000 0.0000  6 Pm 3.35
In: 0.5000 0.5000 0.5000  6 Pm 3.19
Pm: 0.7538 0.7538 0.7387  3 In 3.19, 3 I 3.35
Pm: 0.2462 0.2462 0.2613  3 In 3.19, 3 I 3.35



Record 3
This record from Alexandria describes crystalline Tb2GdZn at its relaxed geometry. The functional is PBE.

Output
DOS(E_F) (states/eV/atom): 1.366
Theoretical density (g cm⁻³): 8.3
ΔH_f (0 K) (eV/atom): 0.04
Size of the total moment (μB/atom): 1.881
Uncorrected energy (eV per atom): -6.1107
Excess energy over the best structure of this formula in the dataset (eV per formula unit): 0.80

a = 5.3412 Å, b = 5.3412 Å, c = 5.3412 Å
α = 60.00°, β = 60.00°, γ = 60.00°
Closest atoms and distances in Å follow each position.
Sites, in units of the cell vectors:
Zn: 0.5000 0.5000 0.5000  8 Tb 3.27
Gd: 0.0000 0.0000 0.0000  8 Tb 3.27
Tb: 0.7500 0.7500 0.7500  4 Gd 3.27, 4 Zn 3.27
Tb: 0.2500 0.2500 0.2500  4 Gd 3.27, 4 Zn 3.27



Record 4
This record from Alexandria describes crystalline MnMoS at its relaxed geometry. The functional is PBE.

Output
DOS(E_F) (states/eV/atom): 0.553
Theoretical density (g cm⁻³): 7.8
Uncorrected formation energy (eV/atom): -0.163
Size of the total moment (μB/atom): 0.000
Uncorrected energy (eV per atom): -8.2062
Excess energy over the best structure of this formula in the dataset (eV per formula unit): 0.14

a = 5.4614 Å, b = 2.9289 Å, c = 9.8449 Å
α = 90.00°, β = 98.51°, γ = 90.00°
Closest atoms and distances in Å follow each position.
Sites, in units of the cell vectors:
Mn: 0.9598 0.0000 0.7976  4 S 2.27-2.35
Mn: 0.8596 0.0000 0.5316  3 S 2.12-2.24
Mn: 0.8596 0.5000 0.0316  3 S 2.12-2.24
Mn: 0.9598 0.5000 0.2976  4 S 2.27-2.35
Mo: 0.2625 0.0000 0.1615  3 S 2.41-2.52
Mo: 0.2625 0.5000 0.6615  3 S 2.41-2.52
Mo: 0.4932 0.5000 0.3867  2 S 2.33
Mo: 0.4932 0.0000 0.8867  2 S 2.33
S: 0.7054 0.5000 0.6694  4 Mn 2.24-2.27, 1 Mo 2.41
S: 0.1992 0.5000 0.9506  3 Mn 2.12-2.35, 2 Mo 2.33
S: 0.1992 0.0000 0.4506  3 Mn 2.12-2.35, 2 Mo 2.33
S: 0.7054 0.0000 0.1694  4 Mn 2.24-2.27, 1 Mo 2.41



Record 5
This record from Alexandria describes crystalline Mn2TePt at its relaxed geometry. The functional is PBE.

Output
DOS(E_F) (states/eV/atom): 0.636
Theoretical density (g cm⁻³): 9.1
Uncorrected formation energy (eV/atom): 0.054
Size of the total moment (μB/atom): 2.016
Uncorrected energy (eV per atom): -6.8267

a = 6.5151 Å, b = 6.5151 Å, c = 6.5151 Å
α = 34.50°, β = 34.50°, γ = 34.50°
Closest atoms and distances in Å follow each position.
Sites, in units of the cell vectors:
Mn: 0.9874 0.9874 0.9874  3 Pt 2.58, 3 Te 2.84
Mn: 0.5126 0.5126 0.5126  3 Pt 2.58, 3 Te 2.84
Te: 0.7500 0.7500 0.7500  6 Mn 2.84
Pt: 0.2500 0.2500 0.2500  6 Mn 2.58



Record 6
This record from Alexandria describes crystalline NbAlCd2P at its relaxed geometry. The functional is PBE.

Output
DOS(E_F) (states/eV/atom): 0.842
Theoretical density (g cm⁻³): 4.4
ΔH_f (0 K) (eV/atom): 0.67
Size of the total moment (μB/atom): 0.000
Uncorrected energy (eV per atom): -3.5391

a = 5.4854 Å, b = 4.7531 Å, c = 5.4854 Å
α = 90.00°, β = 90.00°, γ = 90.00°
Closest atoms and distances in Å follow each position.
Sites, in units of the cell vectors:
P: 0.0000 0.5000 0.0000  2 Nb 2.38
Nb: 0.0000 0.0000 0.0000  2 P 2.38
Al: 0.5000 0.5000 0.5000  8 Cd 3.63, 4 P 3.88
Cd: 0.0000 0.0000 0.5000  2 Nb 2.74
Cd: 0.5000 0.0000 0.0000  2 Nb 2.74



Record 7
This record from Alexandria describes crystalline Pr2Nd6Ho5 at its relaxed geometry. The functional is PBE.

Output
DOS(E_F) (states/eV/atom): 1.175
Theoretical density (g cm⁻³): 7.3
ΔH_f (0 K) (eV/atom): 0.10
Size of the total moment (μB/atom): 0.000
Uncorrected energy (eV per atom): -4.5957

a = 3.6565 Å, b = 11.8784 Å, c = 20.5872 Å
α = 90.00°, β = 90.00°, γ = 90.00°
Closest atoms and distances in Å follow each position.
Sites, in units of the cell vectors:
Pr: 0.0000 0.6668 0.7159  3 Nd 3.44-3.73, 6 Ho 3.60-3.80, 2 Pr 3.66
Pr: 0.0000 0.3332 0.2841  3 Nd 3.44-3.73, 6 Ho 3.60-3.80, 2 Pr 3.66
Pr: 0.0000 0.1668 0.7841  3 Nd 3.44-3.73, 6 Ho 3.60-3.80, 2 Pr 3.66
Pr: 0.0000 0.8332 0.2159  3 Nd 3.44-3.73, 6 Ho 3.60-3.80, 2 Pr 3.66
Ho: 0.5000 0.5000 0.0000  6 Nd 3.35-3.46, 4 Ho 3.66-3.74
Ho: 0.5000 0.0936 0.2223  5 Nd 3.36-3.53, 4 Pr 3.60-3.61, 2 Ho 3.66
Ho: 0.5000 0.1997 0.9447  7 Nd 3.59-4.01, 3 Ho 3.66-3.74, 2 Pr 3.80
Ho: 0.5000 0.6997 0.5553  7 Nd 3.59-4.01, 3 Ho 3.66-3.74, 2 Pr 3.80
Ho: 0.5000 0.4064 0.7223  5 Nd 3.36-3.53, 4 Pr 3.60-3.61, 2 Ho 3.66
Ho: 0.5000 0.0000 0.5000  6 Nd 3.35-3.46, 4 Ho 3.66-3.74
Ho: 0.5000 0.8003 0.0553  7 Nd 3.59-4.01, 3 Ho 3.66-3.74, 2 Pr 3.80
Ho: 0.5000 0.5936 0.2777  5 Nd 3.36-3.53, 4 Pr 3.60-3.61, 2 Ho 3.66
Ho: 0.5000 0.9064 0.7777  5 Nd 3.36-3.53, 4 Pr 3.60-3.61, 2 Ho 3.66
Ho: 0.5000 0.3003 0.4447  7 Nd 3.59-4.01, 3 Ho 3.66-3.74, 2 Pr 3.80
Nd: 0.5000 0.1780 0.6262  2 Ho 3.35-3.36, 4 Nd 3.57-3.66, 2 Pr 3.73
Nd: 0.5000 0.8220 0.3738  2 Ho 3.35-3.36, 4 Nd 3.57-3.66, 2 Pr 3.73
Nd: 0.0000 0.5795 0.1350  1 Pr 3.44, 6 Ho 3.46-3.59, 4 Nd 3.57-3.66
Nd: 0.0000 0.0586 0.0773  5 Nd 3.47-3.76, 6 Ho 3.53-3.69
Nd: 0.0000 0.9205 0.6350  1 Pr 3.44, 6 Ho 3.46-3.59, 4 Nd 3.57-3.66
Nd: 0.5000 0.3220 0.1262  2 Ho 3.35-3.36, 4 Nd 3.57-3.66, 2 Pr 3.73
Nd: 0.0000 0.9414 0.9227  5 Nd 3.47-3.76, 6 Ho 3.53-3.69
Nd: 0.0000 0.5586 0.4227  5 Nd 3.47-3.76, 6 Ho 3.53-3.69
Nd: 0.5000 0.6780 0.8738  2 Ho 3.35-3.36, 4 Nd 3.57-3.66, 2 Pr 3.73
Nd: 0.0000 0.0795 0.3650  1 Pr 3.44, 6 Ho 3.46-3.59, 4 Nd 3.57-3.66
Nd: 0.0000 0.4414 0.5773  5 Nd 3.47-3.76, 6 Ho 3.53-3.69
Nd: 0.0000 0.4205 0.8650  1 Pr 3.44, 6 Ho 3.46-3.59, 4 Nd 3.57-3.66



Record 8
This record from Alexandria describes crystalline GePd3Pt at its relaxed geometry. The functional is PBE.

Output
DOS(E_F) (states/eV/atom): 0.533
Theoretical density (g cm⁻³): 11.4
ΔH_f (0 K) (eV/atom): -0.14
Size of the total moment (μB/atom): 0.000
Uncorrected energy (eV per atom): -5.3901
Excess energy over the best structure of this formula in the dataset (eV per formula unit): 0.67

a = 6.2398 Å, b = 6.2398 Å, c = 6.2398 Å
α = 97.82°, β = 103.82°, γ = 128.68°
Closest atoms and distances in Å follow each position.
Sites, in units of the cell vectors:
Pd: 0.1360 0.8460 0.3361  2 Ge 2.48-2.56, 2 Pt 2.71-2.75, 1 Pd 2.73
Pd: 0.5099 0.3460 0.2099  2 Ge 2.48-2.56, 2 Pt 2.71-2.75, 1 Pd 2.73
Pd: 0.5099 0.8000 0.6639  2 Ge 2.48-2.56, 2 Pt 2.71-2.75, 1 Pd 2.73
Pd: 0.0221 0.7915 0.7305  2 Ge 2.47-2.67, 1 Pt 2.68, 2 Pd 2.73
Pd: 0.0610 0.2915 0.2695  2 Ge 2.47-2.67, 1 Pt 2.68, 2 Pd 2.73
Pd: 0.1360 0.3000 0.7901  2 Ge 2.48-2.56, 2 Pt 2.71-2.75, 1 Pd 2.73
Ge: 0.7537 0.8664 0.3873  1 Pt 2.40, 6 Pd 2.47-2.67
Ge: 0.4791 0.3664 0.6127  1 Pt 2.40, 6 Pd 2.47-2.67
Pt: 0.7785 0.3544 0.9241  1 Ge 2.40, 1 Pd 2.68
Pt: 0.4303 0.8544 0.0759  1 Ge 2.40, 1 Pd 2.68



What did the third record say?
This record from Alexandria describes crystalline Tb2GdZn at its relaxed geometry. The functional is PBE.

Output
DOS(E_F) (states/eV/atom): 1.366
Theoretical density (g cm⁻³): 8.3
ΔH_f (0 K) (eV/atom): 0.04
Size of the total moment (μB/atom): 1.881
Uncorrected energy (eV per atom): -6.1107
Excess energy over the best structure of this formula in the dataset (eV per formula unit): 0.80

a = 5.3412 Å, b = 5.3412 Å, c = 5.3412 Å
α = 60.00°, β = 60.00°, γ = 60.00°
Closest atoms and distances in Å follow each position.
Sites, in units of the cell vectors:
Zn: 0.5000 0.5000 0.5000  8 Tb 3.27
Gd: 0.0000 0.0000 0.0000  8 Tb 3.27
Tb: 0.7500 0.7500 0.7500  4 Gd 3.27, 4 Zn 3.27
Tb: 0.2500 0.2500 0.2500  4 Gd 3.27, 4 Zn 3.27



> size of the total moment of number 8 (GePd3Pt)?

0.000 μB/atom



> Among the records above, which one has the highest size of the total moment?

Mn2TePt